VASP calculation (PBE) on a relaxed CaIn3W crystal.

Unit cell a=5.2935 b=5.2935 c=5.2935 alpha=90.00 beta=90.00 gamma=90.00
With the nearest neighbours (Å) after each atom.
Element x y z (fractional)
1 Ca 0.5000 0.5000 0.5000  12 In 3.74
2 W 0.0000 0.0000 0.0000  6 In 2.65
3 In 0.0000 0.5000 0.0000  2 W 2.65
4 In 0.0000 0.0000 0.5000  2 W 2.65
5 In 0.5000 0.0000 0.0000  2 W 2.65

formation energy from the elements	0.305	eV per atom
symmetry	Pm-3m (221)
offset from the most stable computed form	0.000	eV per atom

***

VASP calculation (PBE) on a relaxed LiAcP2 crystal.

Unit cell a=4.2583 b=4.7944 c=4.7944 alpha=108.19 beta=90.00 gamma=90.00
With the nearest neighbours (Å) after each atom.
Element x y z (fractional)
1 Li 0.5000 0.5820 0.4180  4 P 2.41-2.44
2 Ac 0.0000 0.0282 0.9718  8 P 3.21-3.24, 4 Li 3.55
3 P 0.5000 0.1030 0.4982  1 P 2.24, 2 Li 2.41-2.44
4 P 0.5000 0.5018 0.8970  1 P 2.24, 2 Li 2.41-2.44

formation energy from the elements	-0.884	eV per atom
symmetry	Amm2 (38)
offset from the most stable computed form	0.000	eV per atom

***

VASP calculation (PBE) on a relaxed Lu3S4 crystal.

Unit cell a=6.5520 b=6.5520 c=6.5520 alpha=131.58 beta=131.58 gamma=70.90
With the nearest neighbours (Å) after each atom.
Element x y z (fractional)
1 Lu 0.7500 0.2500 0.5000  6 S 2.67-2.69
2 Lu 0.5000 0.5000 0.0000  6 S 2.67-2.69
3 Lu 0.2500 0.7500 0.5000  6 S 2.67-2.69
4 S 0.5000 0.0000 0.5000  4 Lu 2.67-2.69
5 S 0.2495 0.2495 0.0000  5 Lu 2.67-2.69
6 S 0.0000 0.5000 0.5000  4 Lu 2.67-2.69
7 S 0.7505 0.7505 0.0000  5 Lu 2.67-2.69

E_form (uncorrected)	-2.01	eV per atom
symmetry	I4/mmm (139)

***

VASP calculation (PBE) on a relaxed PrDy2Te3 crystal.

Unit cell a=4.4137 b=6.2231 c=7.6622 alpha=113.96 beta=106.74 gamma=90.00
With the nearest neighbours (Å) after each atom.
Element x y z (fractional)
1 Pr 0.5000 0.5000 0.5000  6 Te 3.11-3.23
2 Dy 0.8420 0.8420 0.1841  6 Te 3.05-3.12
3 Dy 0.1580 0.1580 0.8159  6 Te 3.05-3.12
4 Te 0.8230 0.3230 0.1461  4 Dy 3.11-3.12, 2 Pr 3.23
5 Te 0.1770 0.6770 0.8539  4 Dy 3.11-3.12, 2 Pr 3.23
6 Te 0.5000 0.0000 0.5000  4 Dy 3.05, 2 Pr 3.11

E_form (uncorrected)	-1.33	eV per atom
symmetry	Immm (71)

***

VASP calculation (PBE) on a relaxed Li2Ge3Rh2 crystal.

Unit cell a=3.8616 b=5.0661 c=6.8114 alpha=110.11 beta=90.00 gamma=112.40
With the nearest neighbours (Å) after each atom.
Element x y z (fractional)
1 Li 0.8381 0.6762 0.1962  4 Rh 2.65-2.93, 3 Ge 2.93-2.94
2 Li 0.1619 0.3238 0.8038  4 Rh 2.65-2.93, 3 Ge 2.93-2.94
3 Ge 0.5000 0.0000 0.0000  4 Rh 2.43
4 Ge 0.6316 0.2633 0.4667  3 Rh 2.51-2.58, 1 Ge 2.67
5 Ge 0.3684 0.7367 0.5333  3 Rh 2.51-2.58, 1 Ge 2.67
6 Rh 0.8755 0.7510 0.7885  5 Ge 2.43-2.58, 1 Li 2.65
7 Rh 0.1245 0.2490 0.2115  5 Ge 2.43-2.58, 1 Li 2.65

formation energy from the elements	-0.450	eV per atom
symmetry	C2/m (12)

***

VASP calculation (PBE) on a relaxed NaCuPbCl4 crystal.

Unit cell a=6.4940 b=7.2894 c=7.9587 alpha=90.00 beta=106.44 gamma=90.00
With the nearest neighbours (Å) after each atom.
Element x y z (fractional)
1 Na 0.7572 0.7500 0.9365  4 Cl 2.77-2.98
2 Na 0.2428 0.2500 0.0635  4 Cl 2.77-2.98
3 Cu 0.2301 0.7500 0.3130  4 Cl 2.32-2.38
4 Cu 0.7699 0.2500 0.6870  4 Cl 2.32-2.38
5 Pb 0.7958 0.7500 0.4473  6 Cl 2.80-3.04
6 Pb 0.2042 0.2500 0.5527  6 Cl 2.80-3.04
7 Cl 0.9939 0.5028 0.7580  1 Cu 2.32
8 Cl 0.0061 0.0028 0.2420  1 Cu 2.32
9 Cl 0.0061 0.4972 0.2420  1 Cu 2.32
10 Cl 0.9939 0.9972 0.7580  1 Cu 2.32
11 Cl 0.4660 0.7500 0.1324  1 Cu 2.38
12 Cl 0.5340 0.2500 0.8676  1 Cu 2.38
13 Cl 0.4476 0.7500 0.6019  1 Cu 2.33
14 Cl 0.5524 0.2500 0.3981  1 Cu 2.33

E_form (uncorrected)	-1.08	eV per atom
symmetry	P2_1/m (11)

***

In the order shown, the computed density of states at the Fermi level values come out to 3.37; 1.39; 1.66; 3.07; 1.93; 0.00 states/eV/cell.
In the order shown, the computed M_tot values come out to 0.00; 0.00; 0.00; 0.00; 0.00; 0.27 μB/cell.